No. 1
{"formula": "In4BiPbO8", "functional": "PBE", "state": "optimized geometry", "lattice": [[6.615, 0.000, 0.000], [3.308, 5.729, 0.000], [3.308, 1.910, 6.085]], "species": ["O", "O", "O", "O", "O", "O", "O", "O", "Bi", "Pb", "In", "In", "In", "In"], "frac_coords": [[0.748, 0.217, 0.288], [0.748, 0.748, 0.288], [0.217, 0.748, 0.288], [0.266, 0.266, 0.696], [0.771, 0.266, 0.696], [0.772, 0.772, 0.684], [0.266, 0.771, 0.696], [0.221, 0.221, 0.336], [0.381, 0.381, 0.858], [0.996, 0.996, 0.013], [0.502, 0.999, 0.500], [0.615, 0.615, 0.156], [0.999, 0.502, 0.500], [0.999, 0.999, 0.500]], "n_ef_per_ev_atom": 0.197, "total_energy_ev_per_cell": -76.530, "space_group": "R3m (160)"}



No. 2
{"formula": "KNa2HfBr8", "functional": "PBE", "state": "optimized geometry", "lattice": [[7.061, -0.091, -0.004], [-0.109, 6.168, 0.001], [0.007, 0.019, 9.501]], "species": ["Hf", "K", "Br", "Br", "Br", "Br", "Br", "Br", "Br", "Br", "Na", "Na"], "frac_coords": [[0.000, 0.000, 0.000], [0.000, 0.000, 0.500], [0.142, 0.761, 0.801], [0.858, 0.239, 0.199], [0.683, 0.763, 0.999], [0.481, 0.247, 0.500], [0.317, 0.237, 0.001], [0.519, 0.753, 0.500], [0.141, 0.760, 0.200], [0.859, 0.240, 0.800], [0.500, 0.501, 0.226], [0.500, 0.499, 0.774]], "n_ef_per_ev_atom": 0.128, "total_energy_ev_per_cell": -43.315, "space_group": "P-1 (2)"}



No. 3
{"formula": "Rb3TeF", "functional": "PBE", "state": "optimized geometry", "lattice": [[5.500, 0.000, 4.439], [-2.750, 4.763, 4.439], [-2.750, -4.763, 4.439]], "species": ["Rb", "Rb", "Rb", "Te", "F"], "frac_coords": [[0.281, 0.858, 0.858], [0.858, 0.858, 0.281], [0.858, 0.281, 0.858], [0.786, 0.786, 0.786], [0.092, 0.092, 0.092]], "n_ef_per_ev_atom": 0.000, "de_polymorph_mev_per_atom": 204, "space_group": "R3m (160)"}



No. 4
{"formula": "Zr2TlSe", "functional": "PBE", "state": "optimized geometry", "lattice": [[5.115, 0.000, 0.000], [0.000, 3.441, -0.001], [0.000, 1.731, 5.334]], "species": ["Zr", "Zr", "Tl", "Se"], "frac_coords": [[0.000, 0.071, 0.984], [0.500, 0.397, 0.331], [0.500, 0.663, 0.796], [0.000, 0.368, 0.389]], "n_ef_per_ev_atom": 0.662, "de_polymorph_mev_per_atom": 115, "space_group": "Pm (6)"}



No. 5
{"formula": "SrTl2TcSe", "functional": "PBE", "state": "optimized geometry", "lattice": [[-4.596, -1.540, 4.007], [-2.688, -2.605, -4.085], [3.019, -5.333, 1.414]], "species": ["Tl", "Tl", "Se", "Sr", "Tc"], "frac_coords": [[0.000, 0.000, 0.500], [0.500, 0.000, 0.000], [0.000, 0.500, 0.000], [0.000, 0.000, 0.000], [0.500, 0.500, 0.500]], "n_ef_per_ev_atom": 1.396, "total_energy_ev_per_cell": -14.832, "space_group": "P4/mmm (123)"}



No. 6
{"formula": "Ac2Sb3Rh", "functional": "PBE", "state": "optimized geometry", "lattice": [[6.528, 0.611, -1.684], [-2.003, 6.243, -1.684], [-0.582, -0.882, 9.120]], "species": ["Ac", "Ac", "Ac", "Ac", "Sb", "Sb", "Sb", "Sb", "Sb", "Sb", "Rh", "Rh"], "frac_coords": [[0.245, 0.245, 0.000], [0.750, 0.250, 0.500], [0.250, 0.750, 0.500], [0.755, 0.755, 0.000], [0.813, 0.368, 0.181], [0.828, 0.828, 0.655], [0.632, 0.187, 0.819], [0.187, 0.632, 0.819], [0.172, 0.172, 0.345], [0.368, 0.813, 0.181], [0.334, 0.334, 0.668], [0.666, 0.666, 0.332]], "n_ef_per_ev_atom": 0.372, "total_energy_ev_per_cell": -65.220, "space_group": "Fmmm (69)"}